# Na5Nd4Si4O16F

An optimized crystal structure of Na5Nd4Si4O16F (PBE, Alexandria via LeMat-Bulk). Values from VASP.

```
&SYSTEM
  ibrav = 0, nat = 30, ntyp = 5
/
ATOMIC_SPECIES
Nd 144.24 Nd.upf
O 16.00 O.upf
Si 28.09 Si.upf
Na 22.99 Na.upf
F 19.00 F.upf
CELL_PARAMETERS angstrom
-6.790 -3.262 -4.813
3.592 0.251 8.182
-3.004 8.419 0.124
ATOMIC_POSITIONS crystal
Nd 0.794 0.861 0.699
Nd 0.905 0.206 0.067
Nd 0.139 0.838 0.933
Nd 0.162 0.095 0.301
O 0.365 0.088 0.510
O 0.238 0.672 0.027
O 0.578 0.856 0.490
O 0.912 0.422 0.278
O 0.907 0.676 0.137
O 0.328 0.355 0.566
O 0.797 0.976 0.251
O 0.539 0.771 0.863
O 0.229 0.093 0.769
O 0.454 0.203 0.179
O 0.144 0.635 0.722
O 0.024 0.275 0.821
O 0.645 0.211 0.973
O 0.725 0.546 0.749
O 0.789 0.762 0.434
O 0.324 0.461 0.231
Si 0.738 0.388 0.146
Si 0.409 0.262 0.650
Si 0.241 0.591 0.854
Si 0.612 0.759 0.350
Na 0.500 0.500 0.000
Na 0.927 0.621 0.517
Na 0.105 0.410 0.483
Na 0.379 0.895 0.306
Na 0.590 0.073 0.694
F 0.000 0.000 0.000
```

Computed properties:
**Fermi-level density of states**: 0.000 states/eV per atom
**Energy**: -215.2 eV per cell
**Size of the total moment**: 0.00 Bohr magnetons per cell
**ΔE_f (raw)**: -278.55 kJ per mole of atoms

# Rb2NaNdF6

An optimized crystal structure of Rb2NaNdF6 (PBE, Alexandria via LeMat-Bulk). Values from VASP.

```
&SYSTEM
  ibrav = 0, nat = 10, ntyp = 4
/
ATOMIC_SPECIES
F 19.00 F.upf
Na 22.99 Na.upf
Rb 85.47 Rb.upf
Nd 144.24 Nd.upf
CELL_PARAMETERS angstrom
6.484 0.000 0.000
3.242 5.615 0.000
3.242 1.872 5.294
ATOMIC_POSITIONS crystal
F 0.248 0.248 0.752
F 0.752 0.752 0.248
F 0.752 0.248 0.752
F 0.752 0.248 0.248
F 0.248 0.752 0.248
F 0.248 0.752 0.752
Na 0.500 0.500 0.500
Rb 0.750 0.750 0.750
Rb 0.250 0.250 0.250
Nd 0.000 0.000 0.000
```

Computed properties:
**Fermi-level density of states**: 0.000 states/eV per atom
**Energy**: -51.9 eV per cell
**Size of the total moment**: 0.00 Bohr magnetons per cell
**ΔE_f (raw)**: -314.97 kJ per mole of atoms

# Na2NdTlF8

An optimized crystal structure of Na2NdTlF8 (PBE, Alexandria via LeMat-Bulk). Values from VASP.

```
&SYSTEM
  ibrav = 0, nat = 12, ntyp = 4
/
ATOMIC_SPECIES
F 19.00 F.upf
Tl 204.38 Tl.upf
Nd 144.24 Nd.upf
Na 22.99 Na.upf
CELL_PARAMETERS angstrom
-3.642 1.327 0.458
-1.700 -3.185 -4.291
-1.512 -5.850 4.941
ATOMIC_POSITIONS crystal
F 0.500 0.769 0.000
F 0.000 0.235 0.243
F 0.000 0.765 0.757
F 0.500 0.760 0.500
F 0.000 0.765 0.243
F 0.000 0.235 0.757
F 0.500 0.231 0.000
F 0.500 0.240 0.500
Tl 0.000 0.000 0.000
Nd 0.000 0.000 0.500
Na 0.500 0.500 0.241
Na 0.500 0.500 0.759
```

Computed properties:
**Fermi-level density of states**: 0.000 states/eV per atom
**Energy**: -59.7 eV per cell
**Size of the total moment**: 0.00 Bohr magnetons per cell
**ΔE_f (raw)**: -281.17 kJ per mole of atoms

# NaNdTl2F6

An optimized crystal structure of NaNdTl2F6 (PBE, Alexandria via LeMat-Bulk). Values from VASP.

```
&SYSTEM
  ibrav = 0, nat = 20, ntyp = 4
/
ATOMIC_SPECIES
Tl 204.38 Tl.upf
F 19.00 F.upf
Nd 144.24 Nd.upf
Na 22.99 Na.upf
CELL_PARAMETERS angstrom
6.437 0.000 -0.036
0.000 6.485 0.000
0.004 0.000 9.119
ATOMIC_POSITIONS crystal
Tl 0.992 0.030 0.752
Tl 0.492 0.470 0.252
Tl 0.008 0.970 0.248
Tl 0.508 0.530 0.748
F 0.717 0.292 0.538
F 0.217 0.208 0.038
F 0.708 0.281 0.957
F 0.792 0.781 0.543
F 0.423 0.978 0.754
F 0.783 0.792 0.962
F 0.923 0.522 0.254
F 0.577 0.022 0.246
F 0.077 0.478 0.746
F 0.292 0.719 0.043
F 0.208 0.219 0.457
F 0.283 0.708 0.462
Nd 0.000 0.500 0.500
Nd 0.500 0.000 0.000
Na 0.000 0.500 0.000
Na 0.500 0.000 0.500
```

Computed properties:
**Fermi-level density of states**: 0.000 states/eV per atom
**Energy**: -101.3 eV per cell
**Size of the total moment**: 0.00 Bohr magnetons per cell
**ΔE_f (raw)**: -276.13 kJ per mole of atoms